# 1
PaTa2Si2, relaxed, DFT GGA-PBE; raw formation energy = -515 meV/atom; final energy = -9.3241 eV per atom; D(E_F) = 0.8831 states/eV per atom
1.0
4.0238 0.0000 0.0000
0.0000 4.0238 0.0000
0.0000 0.0000 11.5216
Pa Ta Si
2 4 4
direct
0.0000 0.0000 0.0000
0.5000 0.5000 0.5000
0.0000 0.5000 0.2500
0.0000 0.5000 0.7500
0.5000 0.0000 0.2500
0.5000 0.0000 0.7500
0.0000 0.0000 0.3988
0.0000 0.0000 0.6012
0.5000 0.5000 0.1012
0.5000 0.5000 0.8988

# 2
Pa2TaSi2, relaxed, DFT GGA-PBE; raw formation energy = -495 meV/atom; final energy = -8.8333 eV per atom; D(E_F) = 1.2497 states/eV per atom
1.0
6.8916 0.0000 0.0000
0.0000 6.8916 0.0000
0.0000 0.0000 4.2672
Pa Ta Si
4 2 4
direct
0.1790 0.3210 0.0000
0.3210 0.8210 0.0000
0.6790 0.1790 0.0000
0.8210 0.6790 0.0000
0.0000 0.0000 0.5000
0.5000 0.5000 0.5000
0.1246 0.6246 0.5000
0.3754 0.1246 0.5000
0.6246 0.8754 0.5000
0.8754 0.3754 0.5000

# 3
Pa3TaSi6, relaxed, DFT GGA-PBE; raw formation energy = -484 meV/atom; final energy = -7.7722 eV per atom; D(E_F) = 1.2079 states/eV per atom
1.0
5.4576 3.1510 3.6603
-5.4576 3.1510 3.6603
0.0000 -6.3019 3.6603
Pa Ta Si
6 2 12
direct
0.1869 0.7500 0.3131
0.2500 0.6869 0.8131
0.3131 0.1869 0.7500
0.6869 0.8131 0.2500
0.7500 0.3131 0.1869
0.8131 0.2500 0.6869
0.0000 0.0000 0.0000
0.5000 0.5000 0.5000
0.0198 0.0902 0.3721
0.0902 0.3721 0.0198
0.1279 0.4098 0.4802
0.3721 0.0198 0.0902
0.4098 0.4802 0.1279
0.4802 0.1279 0.4098
0.5198 0.8721 0.5902
0.5902 0.5198 0.8721
0.6279 0.9802 0.9098
0.8721 0.5902 0.5198
0.9098 0.6279 0.9802
0.9802 0.9098 0.6279

# 4
Pa2TaSi, relaxed, DFT GGA-PBE; raw formation energy = -170 meV/atom; final energy = -9.2371 eV per atom; energy above the lowest structure with this stoichiometry = 0 meV/atom; D(E_F) = 1.4389 states/eV per atom
1.0
4.2533 0.0000 0.0000
0.0000 4.2533 0.0000
0.0000 0.0000 4.4986
Pa Ta Si
2 1 1
direct
0.0000 0.5000 0.0000
0.5000 0.0000 0.0000
0.0000 0.0000 0.5000
0.5000 0.5000 0.5000

# 5
Pa2TaSi, relaxed, DFT GGA-PBE; raw formation energy = 139 meV/atom; final energy = -8.9275 eV per atom; energy above the lowest structure with this stoichiometry = 310 meV/atom; D(E_F) = 1.5530 states/eV per atom
1.0
7.0345 0.0000 0.0000
0.0000 7.0345 0.0000
0.0000 0.0000 7.0345
Pa Ta Si
8 4 4
direct
0.2500 0.2500 0.2500
0.2500 0.2500 0.7500
0.2500 0.7500 0.2500
0.2500 0.7500 0.7500
0.7500 0.2500 0.2500
0.7500 0.2500 0.7500
0.7500 0.7500 0.2500
0.7500 0.7500 0.7500
0.0000 0.0000 0.0000
0.0000 0.5000 0.5000
0.5000 0.0000 0.5000
0.5000 0.5000 0.0000
0.0000 0.0000 0.5000
0.0000 0.5000 0.0000
0.5000 0.0000 0.0000
0.5000 0.5000 0.5000

# 6
Pa2Ta3Si4, relaxed, DFT GGA-PBE; raw formation energy = -640 meV/atom; final energy = -9.1110 eV per atom; D(E_F) = 1.0408 states/eV per atom
1.0
7.0586 0.0000 0.0000
0.0000 7.0678 0.0000
-2.3188 0.0000 6.5149
Pa Ta Si
4 6 8
direct
0.1882 0.1682 0.0623
0.1882 0.3318 0.5623
0.8118 0.6682 0.4377
0.8118 0.8318 0.9377
0.2486 0.6713 0.2483
0.2486 0.8287 0.7483
0.5000 0.0000 0.5000
0.5000 0.5000 0.0000
0.7514 0.1713 0.2517
0.7514 0.3287 0.7517
0.0826 0.5416 0.8641
0.0826 0.9584 0.3641
0.4982 0.1282 0.8703
0.4982 0.3718 0.3703
0.5018 0.6282 0.6297
0.5018 0.8718 0.1297
0.9174 0.0416 0.6359
0.9174 0.4584 0.1359

# 7
PaTaTiSi2, relaxed, DFT GGA-PBE; raw formation energy = -585 meV/atom; final energy = -8.6026 eV per atom; D(E_F) = 0.9141 states/eV per atom
1.0
3.9943 0.0000 0.0000
0.0000 3.9943 0.0000
0.0000 0.0000 11.4799
Pa Ta Ti Si
2 2 2 4
direct
0.0000 0.0000 0.0000
0.5000 0.5000 0.5000
0.0000 0.5000 0.7500
0.5000 0.0000 0.2500
0.0000 0.5000 0.2500
0.5000 0.0000 0.7500
0.0000 0.0000 0.3976
0.0000 0.0000 0.6024
0.5000 0.5000 0.1024
0.5000 0.5000 0.8976

# 8
TbPaSi2, relaxed, DFT GGA-PBE; raw formation energy = -418 meV/atom; final energy = -6.6606 eV per atom; D(E_F) = 0.7290 states/eV per atom
1.0
4.5332 0.0000 0.0000
-2.2666 3.9259 0.0000
0.0000 0.0000 15.4620
Tb Pa Si
3 3 6
direct
0.0000 0.0000 0.0000
0.3333 0.6667 0.6667
0.6667 0.3333 0.3333
0.0000 0.0000 0.5000
0.3333 0.6667 0.1667
0.6667 0.3333 0.8333
0.0000 0.0000 0.2484
0.0000 0.0000 0.7516
0.3333 0.6667 0.4183
0.3333 0.6667 0.9150
0.6667 0.3333 0.0850
0.6667 0.3333 0.5817

# 9
Tb2PaSi, relaxed, DFT GGA-PBE; raw formation energy = 164 meV/atom; final energy = -5.8814 eV per atom; energy above the lowest structure with this stoichiometry = 276 meV/atom; D(E_F) = 1.2536 states/eV per atom
1.0
3.3241 0.0000 0.0000
-1.6621 2.8788 0.0000
0.0000 0.0000 32.4807
Tb Pa Si
6 3 3
direct
0.0000 0.0000 0.1000
0.0000 0.0000 0.9000
0.3333 0.6667 0.5667
0.3333 0.6667 0.7667
0.6667 0.3333 0.2333
0.6667 0.3333 0.4333
0.0000 0.0000 0.0000
0.3333 0.6667 0.6667
0.6667 0.3333 0.3333
0.0000 0.0000 0.5000
0.3333 0.6667 0.1667
0.6667 0.3333 0.8333

# 10
Tb2PaSi, relaxed, DFT GGA-PBE; raw formation energy = -112 meV/atom; final energy = -6.1572 eV per atom; energy above the lowest structure with this stoichiometry = 0 meV/atom; D(E_F) = 1.2297 states/eV per atom
1.0
4.6197 0.0000 0.0000
0.0000 4.6197 0.0000
0.0000 0.0000 4.4893
Tb Pa Si
2 1 1
direct
0.0000 0.5000 0.0000
0.5000 0.0000 0.0000
0.0000 0.0000 0.5000
0.5000 0.5000 0.5000

# 11
TbPaZnSi, relaxed, DFT GGA-PBE; raw formation energy = -202 meV/atom; final energy = -5.4075 eV per atom; D(E_F) = 1.7100 states/eV per atom
1.0
7.0441 0.0000 0.0000
0.0000 7.0441 0.0000
0.0000 0.0000 7.0441
Tb Pa Zn Si
4 4 4 4
direct
0.0000 0.0000 0.0000
0.0000 0.5000 0.5000
0.5000 0.0000 0.5000
0.5000 0.5000 0.0000
0.0000 0.0000 0.5000
0.0000 0.5000 0.0000
0.5000 0.0000 0.0000
0.5000 0.5000 0.5000
0.2500 0.2500 0.2500
0.2500 0.7500 0.7500
0.7500 0.2500 0.7500
0.7500 0.7500 0.2500
0.2500 0.2500 0.7500
0.2500 0.7500 0.2500
0.7500 0.2500 0.2500
0.7500 0.7500 0.7500

# 12
Pa4SiTc4, relaxed, DFT GGA-PBE; raw formation energy = -21 meV/atom; final energy = -9.4510 eV per atom; D(E_F) = 1.1469 states/eV per atom
1.0
-3.5746 3.5746 3.7149
3.5746 -3.5746 3.7149
3.5746 3.5746 -3.7149
Pa Si Tc
4 1 4
direct
0.0000 0.0000 0.5000
0.0000 0.5000 0.0000
0.5000 0.0000 0.0000
0.5000 0.5000 0.5000
0.0000 0.0000 0.0000
0.0000 0.5000 0.5000
0.3268 0.3268 0.0000
0.5000 0.0000 0.5000
0.6732 0.6732 0.0000

# 13
Pa3Si7Tc, relaxed, DFT GGA-PBE; raw formation energy = -422 meV/atom; final energy = -7.4049 eV per atom; D(E_F) = 0.9179 states/eV per atom
1.0
1.9871 -9.4653 0.0000
1.9871 9.4653 0.0000
0.0000 0.0000 10.5886
Pa Si Tc
6 14 2
direct
0.1113 0.8887 0.5544
0.1113 0.8887 0.9456
0.2304 0.7696 0.2500
0.7696 0.2304 0.7500
0.8887 0.1113 0.0544
0.8887 0.1113 0.4456
0.2719 0.7281 0.5377
0.2719 0.7281 0.9623
0.3771 0.6229 0.6420
0.3771 0.6229 0.8580
0.3820 0.6180 0.2500
0.4980 0.5020 0.1205
0.4980 0.5020 0.3795
0.5020 0.4980 0.6205
0.5020 0.4980 0.8795
0.6180 0.3820 0.7500
0.6229 0.3771 0.1420
0.6229 0.3771 0.3580
0.7281 0.2719 0.0377
0.7281 0.2719 0.4623
0.0554 0.9446 0.2500
0.9446 0.0554 0.7500

# 14
Pa6SiTc3, relaxed, DFT GGA-PBE; raw formation energy = -120 meV/atom; final energy = -9.4692 eV per atom; D(E_F) = 1.7280 states/eV per atom
1.0
5.1588 2.9784 4.8461
-5.1588 2.9784 4.8461
0.0000 -5.9568 4.8461
Pa Si Tc
12 2 6
direct
0.1121 0.6509 0.8099
0.1605 0.3680 0.4833
0.1901 0.8879 0.3491
0.3491 0.1901 0.8879
0.3680 0.4833 0.1605
0.4833 0.1605 0.3680
0.5167 0.8395 0.6320
0.6320 0.5167 0.8395
0.6509 0.8099 0.1121
0.8099 0.1121 0.6509
0.8395 0.6320 0.5167
0.8879 0.3491 0.1901
0.0000 0.0000 0.0000
0.5000 0.5000 0.5000
0.0078 0.6765 0.1806
0.1806 0.0078 0.6765
0.3235 0.8194 0.9922
0.6765 0.1806 0.0078
0.8194 0.9922 0.3235
0.9922 0.3235 0.8194

# 15
PaSiTc2, relaxed, DFT GGA-PBE; raw formation energy = -167 meV/atom; final energy = -9.0797 eV per atom; energy above the lowest structure with this stoichiometry = 250 meV/atom; D(E_F) = 1.1970 states/eV per atom
1.0
3.2573 0.0000 0.0000
0.0000 3.2573 0.0000
0.0000 0.0000 6.3480
Pa Si Tc
1 1 2
direct
0.0000 0.0000 0.0000
0.0000 0.0000 0.5000
0.5000 0.5000 0.2836
0.5000 0.5000 0.7164

# 16
Pa6SiTc5, relaxed, DFT GGA-PBE; raw formation energy = -113 meV/atom; final energy = -9.6319 eV per atom; D(E_F) = 0.9348 states/eV per atom
1.0
3.4347 -5.6223 0.0000
3.4347 5.6223 0.0000
-1.9608 0.0000 6.7222
Pa Si Tc
6 1 5
direct
0.0662 0.4102 0.7299
0.2192 0.2192 0.2265
0.4102 0.0662 0.7299
0.5898 0.9338 0.2701
0.7808 0.7808 0.7735
0.9338 0.5898 0.2701
0.5000 0.5000 0.0000
0.0000 0.0000 0.5000
0.1806 0.8194 0.0000
0.3657 0.6343 0.5000
0.6343 0.3657 0.5000
0.8194 0.1806 0.0000

# 17
Pa3Si4Tc4, relaxed, DFT GGA-PBE; raw formation energy = -572 meV/atom; final energy = -8.9032 eV per atom; D(E_F) = 1.1492 states/eV per atom
1.0
-2.0500 3.3227 7.1112
2.0500 -3.3227 7.1112
2.0500 3.3227 -7.1112
Pa Si Tc
3 4 4
direct
0.0000 0.0000 0.0000
0.3667 0.8667 0.5000
0.6333 0.1333 0.5000
0.2054 0.2054 0.0000
0.3131 0.5000 0.8131
0.6869 0.5000 0.1869
0.7946 0.7946 0.0000
0.0429 0.3291 0.7138
0.3847 0.6709 0.7138
0.6153 0.3291 0.2862
0.9571 0.6709 0.2862

# 18
Pa4SiTc2, relaxed, DFT GGA-PBE; raw formation energy = -218 meV/atom; final energy = -9.3807 eV per atom; D(E_F) = 1.6912 states/eV per atom
1.0
0.0000 6.2521 3.9527
6.2445 0.0000 3.9527
6.2445 6.2521 0.0000
Pa Si Tc
8 2 4
direct
0.0650 0.9350 0.1840
0.0660 0.4340 0.1850
0.1885 0.5573 0.6918
0.4340 0.0660 0.3150
0.5573 0.1885 0.5624
0.5582 0.6876 0.0615
0.6876 0.5582 0.6927
0.9350 0.0650 0.8160
0.6865 0.6865 0.3135
0.9365 0.9365 0.5635
0.1662 0.4571 0.4379
0.3112 0.8121 0.7929
0.4571 0.1662 0.9388
0.8121 0.3112 0.0838

# 19
Pa5SiTc5, relaxed, DFT GGA-PBE; raw formation energy = -88 meV/atom; final energy = -9.6092 eV per atom; D(E_F) = 0.8013 states/eV per atom
1.0
6.0102 -2.6076 0.0000
6.0102 2.6076 0.0000
-2.7984 0.0000 7.6338
Pa Si Tc
5 1 5
direct
0.0000 0.0000 0.0000
0.3156 0.3156 0.1610
0.3289 0.3289 0.6622
0.6711 0.6711 0.3378
0.6844 0.6844 0.8390
0.0000 0.0000 0.5000
0.1296 0.1296 0.3219
0.1374 0.1374 0.8091
0.5000 0.5000 0.5000
0.8626 0.8626 0.1909
0.8704 0.8704 0.6781

# 20
Pa2Si2Tc3, relaxed, DFT GGA-PBE; raw formation energy = -515 meV/atom; final energy = -9.2200 eV per atom; energy above the lowest structure with this stoichiometry = 0 meV/atom; D(E_F) = 0.9647 states/eV per atom
1.0
10.3410 0.0000 0.0000
0.0000 4.1548 0.0000
-1.7284 0.0000 5.8843
Pa Si Tc
4 4 6
direct
0.1121 0.0000 0.3145
0.3879 0.5000 0.6855
0.6121 0.5000 0.3145
0.8879 0.0000 0.6855
0.1032 0.5000 0.6739
0.3968 0.0000 0.3261
0.6032 0.0000 0.6739
0.8968 0.5000 0.3261
0.0000 0.5000 0.0000
0.1952 0.0000 0.8969
0.3048 0.5000 0.1031
0.5000 0.0000 0.0000
0.6952 0.5000 0.8969
0.8048 0.0000 0.1031